No. 1
First-principles (GGA-PBE) data for K2GaBi after structural relaxation, as listed in the Alexandria database.

Calculated values
As for the symmetry: I-42d, No. 122. The magnetic moment is 0.037 μB per atom.

Cell: 12.4866 12.4866 12.4866 Å, 157.03 157.03 32.72°
Positions (direct):
K  0.1161  0.6250  0.9911
K  0.3750  0.3661  0.4911
K  0.6339  0.1250  0.0089
K  0.8750  0.8839  0.5089
Ga  0.0000  0.0000  0.0000
Ga  0.7500  0.2500  0.5000
Bi  0.2500  0.7500  0.5000
Bi  0.5000  0.5000  0.0000

No. 2
First-principles (GGA-PBE) data for KGa2Bi2 after structural relaxation, as listed in the Alexandria database.

Calculated values
As for the symmetry: I4/mmm, No. 139. The magnetic moment is 0.000 μB per atom.

Cell: 8.0283 8.0283 8.0283 Å, 145.25 145.25 49.96°
Positions (direct):
K  0.0000  0.0000  0.0000
Ga  0.2500  0.7500  0.5000
Ga  0.7500  0.2500  0.5000
Bi  0.3657  0.3657  0.0000
Bi  0.6343  0.6343  0.0000

No. 3
First-principles (GGA-PBE) data for K2GaBi2 after structural relaxation, as listed in the Alexandria database.

Calculated values
As for the symmetry: C2/m, No. 12. The magnetic moment is 0.000 μB per atom.

Cell: 7.1111 7.1111 12.0782 Å, 117.78 117.78 43.71°
Positions (direct):
K  0.0043  0.0043  0.1716
K  0.1786  0.1786  0.6008
K  0.8214  0.8214  0.3992
K  0.9957  0.9957  0.8284
Ga  0.2861  0.2861  0.1409
Ga  0.7139  0.7139  0.8591
Bi  0.3415  0.3415  0.9365
Bi  0.4877  0.4877  0.6217
Bi  0.5123  0.5123  0.3783
Bi  0.6585  0.6585  0.0635

No. 4
First-principles (GGA-PBE) data for KGaBi4 after structural relaxation, as listed in the Alexandria database.

Calculated values
As for the symmetry: P-1, No. 2. The magnetic moment is 0.000 μB per atom.

Cell: 6.8227 6.9540 9.0022 Å, 101.60 103.87 93.48°
Positions (direct):
K  0.1911  0.2465  0.1462
K  0.8089  0.7535  0.8538
Ga  0.0000  0.5000  0.5000
Ga  0.5000  0.0000  0.5000
Bi  0.1022  0.7808  0.2837
Bi  0.2592  0.9355  0.7479
Bi  0.3759  0.7216  0.0401
Bi  0.3967  0.3952  0.6019
Bi  0.6033  0.6048  0.3981
Bi  0.6241  0.2784  0.9599
Bi  0.7408  0.0645  0.2521
Bi  0.8978  0.2192  0.7163

No. 5
First-principles (GGA-PBE) data for KGa2Bi2 after structural relaxation, as listed in the Alexandria database.

Calculated values
As for the symmetry: I4/mmm, No. 139. The magnetic moment is 0.000 μB per atom.

Cell: 6.4819 6.4819 6.4819 Å, 131.26 131.26 71.41°
Positions (direct):
K  0.0000  0.0000  0.0000
Ga  0.3783  0.3783  0.0000
Ga  0.6217  0.6217  0.0000
Bi  0.2500  0.7500  0.5000
Bi  0.7500  0.2500  0.5000

No. 6
First-principles (GGA-PBE) data for K2GaBi2 after structural relaxation, as listed in the Alexandria database.

Calculated values
As for the symmetry: Cmc2_1, No. 36. The magnetic moment is 0.000 μB per atom.

Cell: 7.1650 7.1650 14.2079 Å, 90.00 90.00 147.17°
Positions (direct):
K  0.0635  0.9365  0.5000
K  0.3155  0.6845  0.7203
K  0.6845  0.3155  0.2203
K  0.9365  0.0635  0.0000
Ga  0.3710  0.6290  0.3719
Ga  0.6290  0.3710  0.8719
Bi  0.0465  0.9535  0.7566
Bi  0.2093  0.7907  0.9880
Bi  0.7907  0.2093  0.4880
Bi  0.9535  0.0465  0.2566

No. 7
First-principles (GGA-PBE) data for K4GaBi3 after structural relaxation, as listed in the Alexandria database.

Calculated values
As for the symmetry: I4/mcm, No. 140. The magnetic moment is 0.000 μB per atom.

Cell: 10.3166 10.3166 10.3166 Å, 95.40 95.40 144.27°
Positions (direct):
K  0.0861  0.7734  0.8595
K  0.2266  0.0861  0.3127
K  0.2734  0.5861  0.8595
K  0.4139  0.2734  0.6873
K  0.5861  0.7266  0.3127
K  0.7266  0.4139  0.1405
K  0.7734  0.9139  0.6873
K  0.9139  0.2266  0.1405
Ga  0.2500  0.7500  0.5000
Ga  0.7500  0.2500  0.5000
Bi  0.1248  0.3752  0.5000
Bi  0.2500  0.2500  0.0000
Bi  0.3752  0.8752  0.2504
Bi  0.6248  0.1248  0.7496
Bi  0.7500  0.7500  0.0000
Bi  0.8752  0.6248  0.5000

No. 8
First-principles (GGA-PBE) data for KGaBi2 after structural relaxation, as listed in the Alexandria database.

Calculated values
As for the symmetry: C2/c, No. 15. The magnetic moment is 0.000 μB per atom.

Cell: 7.6015 7.6015 6.6687 Å, 100.49 100.49 128.98°
Positions (direct):
K  0.1271  0.8729  0.7500
K  0.8729  0.1271  0.2500
Ga  0.2664  0.7336  0.2500
Ga  0.7336  0.2664  0.7500
Bi  0.2172  0.4447  0.8607
Bi  0.4447  0.2172  0.3607
Bi  0.5553  0.7828  0.6393
Bi  0.7828  0.5553  0.1393

No. 9
First-principles (GGA-PBE) data for K3Ga2Bi4 after structural relaxation, as listed in the Alexandria database.

Calculated values
As for the symmetry: C2/m, No. 12. The magnetic moment is 0.000 μB per atom.

Cell: 7.4896 7.4896 10.8909 Å, 100.76 100.76 36.16°
Positions (direct):
K  0.0000  0.0000  0.0000
K  0.3414  0.3414  0.3425
K  0.6586  0.6586  0.6575
Ga  0.3744  0.3744  0.7147
Ga  0.6256  0.6256  0.2853
Bi  0.0572  0.0572  0.3787
Bi  0.2787  0.2787  0.9177
Bi  0.7213  0.7213  0.0823
Bi  0.9428  0.9428  0.6213

No. 10
First-principles (GGA-PBE) data for K3Ga4Bi4 after structural relaxation, as listed in the Alexandria database.

Calculated values
As for the symmetry: Immm, No. 71. The magnetic moment is 0.000 μB per atom.

Cell: 15.5208 15.5208 15.5208 Å, 162.55 160.16 26.54°
Positions (direct):
K  0.0000  0.0000  0.0000
K  0.1427  0.6427  0.5000
K  0.8573  0.3573  0.5000
Ga  0.3084  0.8084  0.5000
Ga  0.4585  0.4585  0.0000
Ga  0.5415  0.5415  0.0000
Ga  0.6916  0.1916  0.5000
Bi  0.2477  0.2477  0.0000
Bi  0.4086  0.9086  0.5000
Bi  0.5914  0.0914  0.5000
Bi  0.7523  0.7523  0.0000

No. 11
First-principles (GGA-PBE) data for KGaBi3 after structural relaxation, as listed in the Alexandria database.

Calculated values
As for the symmetry: P2_1, No. 4. The magnetic moment is 0.000 μB per atom.

Cell: 7.0394 6.8106 7.1322 Å, 90.00 90.10 90.00°
Positions (direct):
K  0.2490  0.0000  0.2333
K  0.7510  0.5000  0.7667
Ga  0.2498  0.3378  0.6037
Ga  0.7502  0.8378  0.3963
Bi  0.0001  0.4855  0.2928
Bi  0.9999  0.9855  0.7072
Bi  0.2512  0.6359  0.8940
Bi  0.4987  0.4854  0.2936
Bi  0.5013  0.9854  0.7064
Bi  0.7488  0.1359  0.1060

No. 12
First-principles (GGA-PBE) data for K3Ga2Bi3 after structural relaxation, as listed in the Alexandria database.

Calculated values
As for the symmetry: Cmcm, No. 63. The magnetic moment is 0.000 μB per atom.

Cell: 7.4477 7.4477 16.6292 Å, 90.00 90.00 142.36°
Positions (direct):
K  0.0701  0.9299  0.6108
K  0.0701  0.9299  0.8892
K  0.3527  0.6473  0.7500
K  0.6473  0.3527  0.2500
K  0.9299  0.0701  0.1108
K  0.9299  0.0701  0.3892
Ga  0.2375  0.7625  0.0929
Ga  0.2375  0.7625  0.4071
Ga  0.7625  0.2375  0.5929
Ga  0.7625  0.2375  0.9071
Bi  0.3359  0.6641  0.2500
Bi  0.3674  0.6326  0.5461
Bi  0.3674  0.6326  0.9539
Bi  0.6326  0.3674  0.0461
Bi  0.6326  0.3674  0.4539
Bi  0.6641  0.3359  0.7500

No. 13
First-principles (GGA-PBE) data for K2GaBi2 after structural relaxation, as listed in the Alexandria database.

Calculated values
As for the symmetry: P4/mbm, No. 127. The magnetic moment is 0.000 μB per atom.

Cell: 7.9493 7.9493 5.7977 Å, 90.00 90.00 90.00°
Positions (direct):
K  0.1664  0.3336  0.0000
K  0.3336  0.8336  0.0000
K  0.6664  0.1664  0.0000
K  0.8336  0.6664  0.0000
Ga  0.0000  0.0000  0.5000
Ga  0.5000  0.5000  0.5000
Bi  0.1421  0.6421  0.5000
Bi  0.3579  0.1421  0.5000
Bi  0.6421  0.8579  0.5000
Bi  0.8579  0.3579  0.5000

No. 14
First-principles (GGA-PBE) data for KGaBi2 after structural relaxation, as listed in the Alexandria database.

Calculated values
As for the symmetry: P4/mmm, No. 123. The magnetic moment is 0.000 μB per atom.

Cell: 4.8529 4.8529 5.2411 Å, 90.00 90.00 90.00°
Positions (direct):
K  0.0000  0.0000  0.0000
Ga  0.5000  0.5000  0.0000
Bi  0.0000  0.5000  0.5000
Bi  0.5000  0.0000  0.5000

No. 15
First-principles (GGA-PBE) data for KGaBi3 after structural relaxation, as listed in the Alexandria database.

Calculated values
As for the symmetry: Pm-3m, No. 221. The magnetic moment is 0.000 μB per atom.

Cell: 5.6626 5.6626 5.6626 Å, 90.00 90.00 90.00°
Positions (direct):
K  0.0000  0.0000  0.0000
Ga  0.5000  0.5000  0.5000
Bi  0.0000  0.5000  0.5000
Bi  0.5000  0.0000  0.5000
Bi  0.5000  0.5000  0.0000

No. 16
First-principles (GGA-PBE) data for K2GaBi after structural relaxation, as listed in the Alexandria database.

Calculated values
As for the symmetry: Fm-3m, No. 225. The magnetic moment is 0.000 μB per atom.

Cell: 5.8716 5.8716 5.8716 Å, 60.00 60.00 60.00°
Positions (direct):
K  0.2500  0.2500  0.2500
K  0.7500  0.7500  0.7500
Ga  0.0000  0.0000  0.0000
Bi  0.5000  0.5000  0.5000

No. 17
First-principles (GGA-PBE) data for K4GaBi4 after structural relaxation, as listed in the Alexandria database.

Calculated values
As for the symmetry: I-42m, No. 121. The magnetic moment is 0.000 μB per atom.

Cell: 9.0450 9.0450 9.0450 Å, 135.80 135.80 64.29°
Positions (direct):
K  0.0537  0.5996  0.0000
K  0.4004  0.4004  0.4541
K  0.5996  0.0537  0.0000
K  0.9463  0.9463  0.5459
Ga  0.0000  0.0000  0.0000
Bi  0.2358  0.2358  0.5862
Bi  0.3504  0.7642  0.0000
Bi  0.6496  0.6496  0.4138
Bi  0.7642  0.3504  0.0000

No. 18
First-principles (GGA-PBE) data for K2GaBi after structural relaxation, as listed in the Alexandria database.

Calculated values
As for the symmetry: Cmcm, No. 63. The magnetic moment is 0.000 μB per atom.

Cell: 7.0218 7.0218 6.2131 Å, 90.00 90.00 78.85°
Positions (direct):
K  0.0170  0.3317  0.2500
K  0.3317  0.0170  0.7500
K  0.6683  0.9830  0.2500
K  0.9830  0.6683  0.7500
Ga  0.5000  0.5000  0.0000
Ga  0.5000  0.5000  0.5000
Bi  0.2042  0.7958  0.2500
Bi  0.7958  0.2042  0.7500

No. 19
First-principles (GGA-PBE) data for K2GaBi after structural relaxation, as listed in the Alexandria database.

Calculated values
As for the symmetry: P2_1/c, No. 14. The magnetic moment is 0.000 μB per atom.

Cell: 11.5176 7.1032 9.0551 Å, 90.00 112.63 90.00°
Positions (direct):
K  0.1463  0.2501  0.0773
K  0.1463  0.2499  0.5773
K  0.2754  0.7495  0.3899
K  0.2754  0.7505  0.8899
K  0.7246  0.2495  0.1101
K  0.7246  0.2505  0.6101
K  0.8537  0.7501  0.4227
K  0.8537  0.7499  0.9227
Ga  0.3840  0.2479  0.4432
Ga  0.3840  0.2521  0.9432
Ga  0.6160  0.7479  0.0568
Ga  0.6160  0.7521  0.5568
Bi  0.5001  0.0003  0.2495
Bi  0.4999  0.9997  0.7505
Bi  0.4999  0.5003  0.2505
Bi  0.5001  0.4997  0.7495

No. 20
First-principles (GGA-PBE) data for K6GaBi4 after structural relaxation, as listed in the Alexandria database.

Calculated values
As for the symmetry: P6_3mc, No. 186. The magnetic moment is 0.247 μB per atom.

Cell: 11.8169 11.8169 7.8915 Å, 90.00 90.00 120.00°
Positions (direct):
K  0.0309  0.5154  0.0000
K  0.1478  0.2956  0.2597
K  0.1478  0.8522  0.2597
K  0.2956  0.1478  0.7597
K  0.4846  0.5154  0.0000
K  0.4846  0.9691  0.0000
K  0.5154  0.0309  0.5000
K  0.5154  0.4846  0.5000
K  0.7044  0.8522  0.2597
K  0.8522  0.1478  0.7597
K  0.8522  0.7044  0.7597
K  0.9691  0.4846  0.5000
Ga  0.3333  0.6667  0.7051
Ga  0.6667  0.3333  0.2051
Bi  0.1972  0.3945  0.7158
Bi  0.1972  0.8028  0.7158
Bi  0.3333  0.6667  0.3398
Bi  0.3945  0.1972  0.2158
Bi  0.6055  0.8028  0.7158
Bi  0.6667  0.3333  0.8398
Bi  0.8028  0.1972  0.2158
Bi  0.8028  0.6055  0.2158

No. 21
First-principles (GGA-PBE) data for KGa2Bi2 after structural relaxation, as listed in the Alexandria database.

Calculated values
As for the symmetry: P-1, No. 2. The magnetic moment is 0.000 μB per atom.

Cell: 7.3975 7.4514 7.5099 Å, 76.14 61.06 60.93°
Positions (direct):
K  0.2495  0.0066  0.4953
K  0.7505  0.9934  0.5047
Ga  0.0033  0.2284  0.9974
Ga  0.4948  0.5023  0.2732
Ga  0.5052  0.4977  0.7268
Ga  0.9967  0.7716  0.0026
Bi  0.1263  0.5191  0.6749
Bi  0.3748  0.8254  0.9817
Bi  0.6252  0.1746  0.0183
Bi  0.8737  0.4809  0.3251

No. 22
First-principles (GGA-PBE) data for K3GaBi2 after structural relaxation, as listed in the Alexandria database.

Calculated values
As for the symmetry: Pnma, No. 62. The magnetic moment is 0.000 μB per atom.

Cell: 13.9578 4.7891 15.0898 Å, 90.00 90.00 90.00°
Positions (direct):
K  0.0651  0.2500  0.1162
K  0.1188  0.7500  0.5561
K  0.1840  0.2500  0.7968
K  0.3160  0.7500  0.2968
K  0.3812  0.2500  0.0561
K  0.4349  0.7500  0.6162
K  0.5651  0.2500  0.3838
K  0.6188  0.7500  0.9439
K  0.6840  0.2500  0.7032
K  0.8160  0.7500  0.2032
K  0.8812  0.2500  0.4439
K  0.9349  0.7500  0.8838
Ga  0.1428  0.2500  0.3730
Ga  0.3572  0.7500  0.8730
Ga  0.6428  0.2500  0.1270
Ga  0.8572  0.7500  0.6270
Bi  0.0515  0.7500  0.3161
Bi  0.1981  0.7500  0.9773
Bi  0.3019  0.2500  0.4773
Bi  0.4485  0.2500  0.8161
Bi  0.5515  0.7500  0.1839
Bi  0.6981  0.7500  0.5227
Bi  0.8019  0.2500  0.0227
Bi  0.9485  0.2500  0.6839

Let's list formation enthalpy at 0 K in order: 0.15 -0.18 -0.27 -0.05 -0.14 -0.15 -0.28 -0.21 -0.19 -0.15 -0.10 -0.26 -0.23 -0.07 0.16 -0.08 -0.15 -0.16 -0.14 -0.27 -0.12 -0.33 eV per atom.